# PBE Cs2HIrCl6, optimized geometry
# Spin magnetization, μB/f.u.: 2.0
# Volume, Å³ per cell: 295
# Symmetry: I4/mmm
# D(E_F), states/eV/cell: 8.80
# Energy, eV/atom: -3.3780
data_Cs2HIrCl6
_chemical_formula_sum 'Cs2 H1 Ir1 Cl6'
_space_group_name_H-M_alt 'P 1'
_space_group_IT_number 1
_space_group_name_Hall 'P 1'
_cell_length_a 7.4674
_cell_length_b 7.4674
_cell_length_c 7.4734
_cell_angle_alpha 60.03
_cell_angle_beta 60.03
_cell_angle_gamma 90.00
loop_
_atom_site_label
_atom_site_fract_x
_atom_site_fract_y
_atom_site_fract_z
Cs1 0.7500 0.2500 0.5000
Cs2 0.2500 0.7500 0.5000
H1 0.5000 0.5000 0.0000
Ir1 0.0000 0.0000 0.0000
Cl1 0.2223 0.2223 0.5554
Cl2 0.7777 0.7777 0.4446
Cl3 0.2227 0.2227 0.0000
Cl4 0.7773 0.7773 0.0000
Cl5 0.7773 0.2227 0.0000
Cl6 0.2227 0.7773 0.0000

# PBE CsHIrCl2, optimized geometry
# Spin magnetization, μB/f.u.: 2.8
# Volume, Å³ per cell: 152
# Symmetry: P4/mmm
# D(E_F), states/eV/cell: 6.45
# Energy, eV/atom: -2.2208
data_CsHIrCl2
_chemical_formula_sum 'Cs1 H1 Ir1 Cl2'
_space_group_name_H-M_alt 'P 1'
_space_group_IT_number 1
_space_group_name_Hall 'P 1'
_cell_length_a 6.1906
_cell_length_b 6.1906
_cell_length_c 3.9763
_cell_angle_alpha 90.00
_cell_angle_beta 90.00
_cell_angle_gamma 90.00
loop_
_atom_site_label
_atom_site_fract_x
_atom_site_fract_y
_atom_site_fract_z
Cs1 0.0000 0.0000 0.0000
H1 0.0000 0.0000 0.5000
Ir1 0.5000 0.5000 0.5000
Cl1 0.0000 0.5000 0.0000
Cl2 0.5000 0.0000 0.0000

# PBE CsHIrCl6, optimized geometry
# Spin magnetization, μB/f.u.: 1.1
# Volume, Å³ per cell: 273
# Symmetry: P1
# D(E_F), states/eV/cell: 5.40
# Energy, eV/atom: -3.4868
data_CsHIrCl6
_chemical_formula_sum 'Cs1 H1 Ir1 Cl6'
_space_group_name_H-M_alt 'P 1'
_space_group_IT_number 1
_space_group_name_Hall 'P 1'
_cell_length_a 7.0752
_cell_length_b 6.8003
_cell_length_c 7.0631
_cell_angle_alpha 89.05
_cell_angle_beta 90.20
_cell_angle_gamma 53.54
loop_
_atom_site_label
_atom_site_fract_x
_atom_site_fract_y
_atom_site_fract_z
Cs1 0.0955 0.8642 0.0153
H1 0.7762 0.8327 0.4979
Ir1 0.3045 0.3287 0.4986
Cl1 0.1004 0.3582 0.2251
Cl2 0.0428 0.3157 0.6859
Cl3 0.5095 0.3018 0.7701
Cl4 0.0616 0.7575 0.5149
Cl5 0.5644 0.3464 0.3094
Cl6 0.5448 0.8947 0.4827

# PBE Cs3KH2Cl6, optimized geometry
# Spin magnetization, μB/f.u.: 0.0
# Volume, Å³ per cell: 417
# Symmetry: P-3m1
# D(E_F), states/eV/cell: 0.00
# Energy, eV/atom: -3.1165
data_Cs3KH2Cl6
_chemical_formula_sum 'Cs3 K1 H2 Cl6'
_space_group_name_H-M_alt 'P 1'
_space_group_IT_number 1
_space_group_name_Hall 'P 1'
_cell_length_a 7.3587
_cell_length_b 7.3587
_cell_length_c 8.8961
_cell_angle_alpha 90.00
_cell_angle_beta 90.00
_cell_angle_gamma 120.00
loop_
_atom_site_label
_atom_site_fract_x
_atom_site_fract_y
_atom_site_fract_z
Cs1 0.3333 0.6667 0.6555
Cs2 0.6667 0.3333 0.3445
Cs3 0.0000 0.0000 0.0000
K1 0.0000 0.0000 0.5000
H1 0.6667 0.3333 0.7197
H2 0.3333 0.6667 0.2803
Cl1 0.6210 0.8105 0.2848
Cl2 0.1895 0.3790 0.2848
Cl3 0.1895 0.8105 0.2848
Cl4 0.8105 0.6210 0.7152
Cl5 0.3790 0.1895 0.7152
Cl6 0.8105 0.1895 0.7152